Material: ZnPRu2
Method: DFT, PBEsol
State: relaxed

**Symmetry**: P4/mmm (123)
**ΔH_f (0 K)**: -0.305 eV/atom
**Crystal system**: tetragonal
**Energy above the most stable polymorph in this dataset**: 0.000 eV/atom

abc: 2.877 2.877 6.079
angles: 90.00 90.00 90.00
Atoms (fractional coordinates):
Zn: 0.000 0.000 0.000
P: 0.000 0.000 0.500
Ru: 0.500 0.500 0.276
Ru: 0.500 0.500 0.724